1.
DFT (PBE-GGA) results for a relaxed Tb2HoAl2Ga2 crystal.

The energy is -30.1 eV per formula unit. The formation energy comes out at -0.387 eV/atom. The total magnetization comes out at 0.0 μB per formula unit.

It has space group R-3m (No. 166, hexagonal axes), with a = 4.2618 Å, b = 4.2618 Å, c = 32.0789 Å, α = 90.00°, β = 90.00° and γ = 120.00°. Symmetry generates all atoms from Tb at (0.0000, 0.0000, 0.1249), Ho at (0.0000, 0.0000, 0.0000), Al at (0.0000, 0.0000, 0.3920) and Ga at (0.0000, 0.0000, 0.2632).


2.
DFT (PBE-GGA) results for a relaxed NaSrPb2Cl crystal.

The uncorrected formation energy comes out at -0.14 eV per atom. The energy is -12.9 eV per formula unit. The total magnetization comes out at 1.0 μB per formula unit.

It has space group P4/mmm (No. 123), with a = 6.5594 Å, b = 6.5594 Å, c = 5.4178 Å, α = 90.00°, β = 90.00° and γ = 90.00°. Symmetry generates all atoms from Na at (0.0000, 0.0000, 0.0000), Sr at (0.5000, 0.5000, 0.5000), Pb at (0.0000, 0.5000, 0.5000) and Cl at (0.5000, 0.5000, 0.0000).


3.
DFT (PBE-GGA) results for a relaxed Ho4P crystal.

The energy is -25.7 eV per formula unit. The formation energy comes out at -0.394 eV/atom. The total magnetization comes out at 0.1 μB per formula unit.

It has space group Pm-3m (No. 221), with a = 5.3441 Å, b = 5.3441 Å, c = 5.3441 Å, α = 90.00°, β = 90.00° and γ = 90.00°. Symmetry generates all atoms from Ho at (0.0000, 0.0000, 0.0000), Ho at (0.0000, 0.5000, 0.5000) and P at (0.5000, 0.5000, 0.5000).


4.
DFT (PBE-GGA) results for a relaxed SrSi3Te crystal.

The uncorrected formation energy comes out at 0.74 eV per atom. The energy is -17.4 eV per formula unit. The value obtained for the energy relative to the lowest polymorph listed for this composition is 0.0 meV per atom. The total magnetization comes out at 0.0 μB per formula unit.

It has space group Pm-3m (No. 221), with a = 5.2855 Å, b = 5.2855 Å, c = 5.2855 Å, α = 90.00°, β = 90.00° and γ = 90.00°. Symmetry generates all atoms from Sr at (0.0000, 0.0000, 0.0000), Si at (0.0000, 0.5000, 0.5000) and Te at (0.5000, 0.5000, 0.5000).


5.
DFT (PBE-GGA) results for a relaxed TbSm2ErTm5 crystal.

The energy is -38.5 eV per formula unit. The formation energy comes out at 0.282 eV/atom. The total magnetization comes out at 0.0 μB per formula unit.

It has space group I4/mcm (No. 140), with a = 8.5996 Å, b = 8.5996 Å, c = 15.2824 Å, α = 90.00°, β = 90.00° and γ = 90.00°. Symmetry generates all atoms from Tb at (0.0000, 0.0000, 0.2500), Sm at (0.1164, 0.3836, 0.0000), Er at (0.0000, 0.5000, 0.2500), Tm at (0.0000, 0.0000, 0.0000) and Tm at (0.2108, 0.2892, 0.3615).


6.
DFT (PBE-GGA) results for a relaxed NpAgSn crystal.

The energy is -19.7 eV per formula unit. The formation energy comes out at 0.036 eV/atom. The total magnetization comes out at 0.0 μB per formula unit.

It has space group P4/nmm (No. 129, origin choice 2), with a = 3.4727 Å, b = 3.4727 Å, c = 10.0009 Å, α = 90.00°, β = 90.00° and γ = 90.00°. Symmetry generates all atoms from Np at (0.2500, 0.2500, 0.0400), Ag at (0.2500, 0.2500, 0.4218) and Sn at (0.2500, 0.2500, 0.7394).


7.
DFT (PBE-GGA) results for a relaxed CsNaTl2 crystal.

The energy is -7.1 eV per formula unit. The value obtained for the energy relative to the lowest polymorph listed for this composition is 26.0 meV per atom. The formation energy comes out at -0.058 eV/atom. The total magnetization comes out at 0.0 μB per formula unit.

It has space group P2_1/m (No. 11), with a = 5.4130 Å, b = 9.1759 Å, c = 7.6771 Å, α = 90.00°, β = 110.61° and γ = 90.00°. Symmetry generates all atoms from Cs at (0.0485, 0.2500, 0.0941), Na at (0.3310, 0.2500, 0.6607) and Tl at (0.2591, 0.5822, 0.5186).


8.
DFT (PBE-GGA) results for a relaxed PuZnGa2Au5 crystal.

The energy is -39.3 eV per formula unit. The formation energy comes out at -0.135 eV/atom. The total magnetization comes out at 5.6 μB per formula unit.

It has space group P4/mmm (No. 123), with a = 4.9339 Å, b = 4.9339 Å, c = 7.6713 Å, α = 90.00°, β = 90.00° and γ = 90.00°. Symmetry generates all atoms from Pu at (0.0000, 0.0000, 0.0000), Zn at (0.0000, 0.0000, 0.5000), Ga at (0.5000, 0.5000, 0.3426), Au at (0.0000, 0.5000, 0.2464) and Au at (0.5000, 0.5000, 0.0000).


9.
DFT (PBE-GGA) results for a relaxed SrAgBi3 crystal.

The energy is -12.0 eV per formula unit. The value obtained for the energy relative to the lowest polymorph listed for this composition is 853.8 meV per atom. The formation energy comes out at 0.832 eV/atom. The total magnetization comes out at 0.0 μB per formula unit.

It has space group Pm-3m (No. 221), with a = 6.1010 Å, b = 6.1010 Å, c = 6.1010 Å, α = 90.00°, β = 90.00° and γ = 90.00°. Symmetry generates all atoms from Sr at (0.0000, 0.0000, 0.0000), Ag at (0.5000, 0.5000, 0.5000) and Bi at (0.0000, 0.0000, 0.5000).


10.
DFT (PBE-GGA) results for a relaxed Cs2PmScO4 crystal.

The uncorrected formation energy comes out at -2.33 eV per atom. The energy is -51.3 eV per formula unit. The total magnetization comes out at 0.0 μB per formula unit.

It has space group Imma (No. 74), with a = 7.2655 Å, b = 7.5932 Å, c = 10.4460 Å, α = 90.00°, β = 90.00° and γ = 90.00°. Symmetry generates all atoms from Cs at (0.0000, 0.0000, 0.0000), Cs at (0.2500, 0.2500, 0.2500), Pm at (0.0000, 0.0000, 0.5000), Sc at (0.2500, 0.2500, 0.7500), O at (0.0000, 0.0625, 0.7304) and O at (0.2049, 0.2500, 0.5376).


11.
DFT (PBE-GGA) results for a relaxed CaCu2Rh crystal.

The energy is -17.5 eV per formula unit. The value obtained for the energy relative to the lowest polymorph listed for this composition is 151.5 meV per atom. The formation energy comes out at 0.003 eV/atom. The total magnetization comes out at 0.0 μB per formula unit.

It has space group P4/mmm (No. 123), with a = 3.3150 Å, b = 3.3150 Å, c = 6.1301 Å, α = 90.00°, β = 90.00° and γ = 90.00°. Symmetry generates all atoms from Ca at (0.0000, 0.0000, 0.0000), Cu at (0.5000, 0.5000, 0.3028) and Rh at (0.0000, 0.0000, 0.5000).


12.
DFT (PBE-GGA) results for a relaxed CsTl3Br crystal.

The uncorrected formation energy comes out at -0.15 eV per atom. The energy is -10.4 eV per formula unit. The value obtained for the energy relative to the lowest polymorph listed for this composition is 0.0 meV per atom. The total magnetization comes out at 0.0 μB per formula unit.

It has space group Pm-3m (No. 221), with a = 6.2631 Å, b = 6.2631 Å, c = 6.2631 Å, α = 90.00°, β = 90.00° and γ = 90.00°. Symmetry generates all atoms from Cs at (0.0000, 0.0000, 0.0000), Tl at (0.0000, 0.5000, 0.5000) and Br at (0.5000, 0.5000, 0.5000).